ErScSi | PBE | optimized geometry

## Properties
Magnetic moment ... 0.01 μB per cell
Electronic total energy ... -5.9164 eV/atom
E above lowest polymorph ... 0.00 eV per formula unit
Space-group type ... F-43m

Cell lengths 4.668, 4.668, 4.668 Å; angles 60.00, 60.00, 60.00 degrees
Fractional positions:
Si (0.000, 0.000, 0.000)
Er (0.250, 0.250, 0.250)
Sc (0.750, 0.750, 0.750)

YAlInAu2 | PBE | optimized geometry

## Properties
Magnetic moment ... 0.01 μB per cell
Electronic total energy ... -4.4453 eV/atom
Space-group type ... P4/nmm

Cell lengths 4.369, 4.369, 11.345 Å; angles 90.00, 90.00, 90.00 degrees
Fractional positions:
Au (0.000, 0.000, 0.000)
Y (0.500, 0.000, 0.734)
Al (0.500, 0.500, 0.500)
Au (0.500, 0.500, 0.000)
Al (0.000, 0.000, 0.500)
Au (0.500, 0.000, 0.381)
In (0.500, 0.000, 0.147)
Y (0.000, 0.500, 0.266)
Au (0.000, 0.500, 0.619)
In (0.000, 0.500, 0.853)

Gd3Al3NiIr2 | PBE | optimized geometry

## Properties
Magnetic moment ... 0.00 μB per cell
Electronic total energy ... -6.1708 eV/atom
Space-group type ... P-62m

Cell lengths 6.985, 6.985, 4.083 Å; angles 90.00, 90.00, 120.00 degrees
Fractional positions:
Al (0.234, 0.000, 0.500)
Ni (0.000, 0.000, 0.000)
Gd (0.410, 0.410, 0.000)
Gd (0.590, 0.000, 0.000)
Al (0.000, 0.234, 0.500)
Al (0.766, 0.766, 0.500)
Ir (0.667, 0.333, 0.500)
Ir (0.333, 0.667, 0.500)
Gd (0.000, 0.590, 0.000)

Ba2TaMoS6 | PBE | optimized geometry

## Properties
Magnetic moment ... 0.81 μB per cell
Electronic total energy ... -6.3896 eV/atom
Space-group type ... Fm-3m

Cell lengths 6.855, 6.855, 6.855 Å; angles 60.00, 60.00, 90.00 degrees
Last column: magnetic moment on the atom in μB.
Fractional positions:
Mo (0.000, 0.000, 0.000)  0.64
S (0.249, 0.751, 0.000)  0.01
S (0.751, 0.751, 0.000)  0.01
Ba (0.750, 0.250, 0.500)  0.01
S (0.249, 0.249, 0.501)  0.01
Ta (0.500, 0.500, 0.000)  -0.05
S (0.249, 0.249, 0.000)  0.01
Ba (0.250, 0.750, 0.500)  0.01
S (0.751, 0.249, 0.000)  0.01
S (0.751, 0.751, 0.499)  0.01

Pr2GaSi | PBE | optimized geometry

## Properties
Magnetic moment ... 0.29 μB per cell
Electronic total energy ... -5.1875 eV/atom
Space-group type ... P2_1/m

Cell lengths 6.090, 4.073, 8.789 Å; angles 90.00, 108.57, 90.00 degrees
Fractional positions:
Pr (0.716, 0.250, 0.930)
Pr (0.284, 0.750, 0.070)
Pr (0.208, 0.250, 0.429)
Si (0.854, 0.750, 0.214)
Ga (0.645, 0.250, 0.284)
Ga (0.355, 0.750, 0.716)
Pr (0.792, 0.750, 0.571)
Si (0.146, 0.250, 0.786)

Sr2CuF6 | PBE | optimized geometry

## Properties
Electronic total energy ... -5.0531 eV/atom
Space-group type ... I4/mmm

Cell lengths 7.891, 7.890, 3.947 Å; angles 75.53, 75.50, 28.97 degrees
Fractional positions:
F (0.371, 0.371, 0.629)
F (0.629, 0.629, 0.371)
Sr (0.846, 0.846, 0.154)
Cu (0.500, 0.500, 0.500)
F (0.000, 0.000, 0.500)
F (0.750, 0.750, 0.750)
F (0.250, 0.250, 0.250)
Sr (0.154, 0.154, 0.846)
F (0.500, 0.500, 0.000)

Er2LuAl3Ge2Au | PBE | optimized geometry

## Properties
Magnetic moment ... 0.01 μB per cell
Electronic total energy ... -4.8538 eV/atom
Space-group type ... Amm2

Cell lengths 4.213, 6.989, 6.989 Å; angles 119.88, 90.00, 90.00 degrees
Fractional positions:
Er (0.000, 0.999, 0.587)
Al (0.500, 0.240, 0.000)
Au (0.000, 0.004, 0.004)
Al (0.500, 0.000, 0.240)
Lu (0.000, 0.413, 0.413)
Al (0.500, 0.760, 0.760)
Er (0.000, 0.587, 0.999)
Ge (0.500, 0.334, 0.664)
Ge (0.500, 0.664, 0.334)

SrMgFeMo | PBE | optimized geometry

## Properties
Magnetic moment ... 0.03 μB per cell
Electronic total energy ... -4.6482 eV/atom
E above lowest polymorph ... 0.16 eV per formula unit
Space-group type ... F-43m

Cell lengths 4.697, 4.697, 4.697 Å; angles 60.00, 60.00, 60.00 degrees
Fractional positions:
Mg (0.750, 0.750, 0.750)
Fe (0.000, 0.000, 0.000)
Mo (0.250, 0.250, 0.250)
Sr (0.500, 0.500, 0.500)

AlCdPO | PBE | optimized geometry

## Properties
Electronic total energy ... -4.4130 eV/atom
E above lowest polymorph ... 2.02 eV per formula unit
Space-group type ... P4/nmm

Cell lengths 3.820, 3.820, 8.503 Å; angles 90.00, 90.00, 90.00 degrees
Fractional positions:
Cd (0.750, 0.250, 0.500)
Al (0.250, 0.250, 0.077)
Al (0.750, 0.750, 0.923)
P (0.750, 0.750, 0.285)
O (0.250, 0.750, 0.000)
O (0.750, 0.250, 0.000)
Cd (0.250, 0.750, 0.500)
P (0.250, 0.250, 0.715)

ZnCdCuPb | PBE | optimized geometry

## Properties
Electronic total energy ... -2.1010 eV/atom
E above lowest polymorph ... 0.22 eV per formula unit
Space-group type ... F-43m

Cell lengths 4.886, 4.886, 4.886 Å; angles 60.00, 60.00, 60.00 degrees
Fractional positions:
Pb (0.000, 0.000, 0.000)
Cu (0.750, 0.750, 0.750)
Zn (0.500, 0.500, 0.500)
Cd (0.250, 0.250, 0.250)

BaCo2 | PBE | optimized geometry

## Properties
Magnetic moment ... 10.28 μB per cell
Electronic total energy ... -4.9771 eV/atom
Space-group type ... Pbcm

Cell lengths 5.995, 4.320, 9.254 Å; angles 90.00, 90.01, 90.00 degrees
Last column: magnetic moment on the atom in μB.
Fractional positions:
Co (0.578, 0.500, 0.052)  1.40
Co (0.422, 0.500, 0.552)  1.40
Co (0.412, 0.500, 0.814)  1.56
Ba (0.882, 0.500, 0.617)  -0.13
Ba (0.882, 0.000, 0.883)  -0.13
Co (0.422, 0.000, 0.948)  1.40
Ba (0.118, 0.000, 0.383)  -0.13
Ba (0.118, 0.500, 0.117)  -0.13
Co (0.412, 0.000, 0.686)  1.55
Co (0.588, 0.500, 0.314)  1.55
Co (0.588, 0.000, 0.186)  1.55
Co (0.578, 0.000, 0.448)  1.40

NaYCoSe3 | PBE | optimized geometry

## Properties
Magnetic moment ... 11.98 μB per cell
Electronic total energy ... -5.2250 eV/atom
E above lowest polymorph ... 0.64 eV per formula unit
Space-group type ... Pnma

Cell lengths 8.167, 4.133, 15.936 Å; angles 90.00, 90.00, 90.00 degrees
Last column: magnetic moment on the atom in μB.
Fractional positions:
Se (0.626, 0.750, 0.560)  0.12
Y (0.747, 0.750, 0.956)  0.06
Y (0.247, 0.750, 0.544)  0.06
Se (0.126, 0.750, 0.940)  0.12
Y (0.253, 0.250, 0.044)  0.06
Se (0.692, 0.250, 0.282)  0.20
Se (0.308, 0.750, 0.718)  0.20
Co (0.621, 0.250, 0.140)  2.10
Se (0.503, 0.250, 0.905)  0.15
Se (0.374, 0.250, 0.440)  0.12
Se (0.003, 0.250, 0.595)  0.15
Se (0.192, 0.250, 0.218)  0.20
Na (0.577, 0.250, 0.713)  0.00
Co (0.379, 0.750, 0.860)  2.10
Co (0.121, 0.250, 0.360)  2.10
Y (0.753, 0.250, 0.456)  0.06
Se (0.874, 0.250, 0.060)  0.12
Na (0.077, 0.250, 0.787)  0.00
Na (0.423, 0.750, 0.287)  0.00
Se (0.497, 0.750, 0.095)  0.15
Se (0.997, 0.750, 0.405)  0.15
Co (0.879, 0.750, 0.640)  2.10
Na (0.923, 0.750, 0.213)  0.00
Se (0.808, 0.750, 0.782)  0.20

Copy entry 8 word for word.
SrMgFeMo | PBE | optimized geometry

## Properties
Magnetic moment ... 0.03 μB per cell
Electronic total energy ... -4.6482 eV/atom
E above lowest polymorph ... 0.16 eV per formula unit
Space-group type ... F-43m

Cell lengths 4.697, 4.697, 4.697 Å; angles 60.00, 60.00, 60.00 degrees
Fractional positions:
Mg (0.750, 0.750, 0.750)
Fe (0.000, 0.000, 0.000)
Mo (0.250, 0.250, 0.250)
Sr (0.500, 0.500, 0.500)

Q: Among the records above, which one has the lowest electronic total energy?
A: Ba2TaMoS6